16
Lattice="3.703 0.000 0.000 0.000 3.703 0.000 0.000 0.000 14.925" Properties=species:S:1:pos:R:3 comment="Ni12Sb3W | Alexandria via LeMat-Bulk | PBE | relaxed" spacegroup=P4/mmm raw_formation_energy_mev_per_atom=-102 density_g_cm3=10.2 volume_a3_per_fu=204.6 e_tot_ev_per_atom=-6.02 pbc="T T T"
Ni 0.000 0.000 0.000
Ni 0.000 0.000 3.665
Ni 0.000 0.000 7.463
Ni 0.000 0.000 11.260
Ni 0.000 1.851 1.737
Ni 0.000 1.851 5.576
Ni 0.000 1.851 9.349
Ni 0.000 1.851 13.188
Ni 1.851 0.000 1.737
Ni 1.851 0.000 5.576
Ni 1.851 0.000 9.349
Ni 1.851 0.000 13.188
Sb 1.851 1.851 3.711
Sb 1.851 1.851 7.463
Sb 1.851 1.851 11.215
W 1.851 1.851 0.000